Entry 1:
The following is a DFT calculation (PBE) of an optimized crystal structure of Li6NdAu2.

The relative energy among the computed polymorphs is 0.00 eV per formula unit. The value obtained for the total DFT energy (no corrections) is -25.86 eV per cell. The calculated density comes out at 5297 kg/m³. The formation enthalpy at 0 K comes out at -0.340 eV/atom. The calculated volume comes out at 20.2 Å³ per atom. Its density of states at the Fermi level is 0.364 states/eV/atom.

It has space group P4/mmm (No. 123), with a = 4.030 Å, b = 4.030 Å, c = 11.193 Å, α = 90.00°, β = 90.00° and γ = 90.00°. The distinct sites, in fractional coordinates, are Li at (0.000, 0.000, 0.000), Li at (0.000, 0.500, 0.214), Li at (0.500, 0.500, 0.000), Nd at (0.000, 0.000, 0.500) and Au at (0.500, 0.500, 0.371).

Entry 2:
The following is a DFT calculation (PBE) of an optimized crystal structure of LiNd3Au4.

The relative energy among the computed polymorphs is 0.57 eV per formula unit. The value obtained for the total DFT energy (no corrections) is -68.85 eV per cell. The calculated density comes out at 9697 kg/m³. The formation enthalpy at 0 K comes out at -0.637 eV/atom. The calculated volume comes out at 26.3 Å³ per atom. Its density of states at the Fermi level is 0.755 states/eV/atom.

It has space group Immm (No. 71), with a = 4.064 Å, b = 6.944 Å, c = 14.899 Å, α = 90.00°, β = 90.00° and γ = 90.00°. The distinct sites, in fractional coordinates, are Li at (0.000, 0.000, 0.000), Nd at (0.000, 0.000, 0.500), Nd at (0.000, 0.500, 0.299) and Au at (0.000, 0.284, 0.120).